Below is LaTb6Dy3Tm2 after structural relaxation, with properties calculated at the PBE level.

Structure (POSCAR):
```
LaTb6Dy3Tm2
1.0
3.082 -5.336 0.000
3.082 5.336 0.000
-2.046 0.000 11.637
La Tb Dy Tm
1 6 3 2
Direct
0.000 0.000 0.000 La
0.085 0.420 0.252 Tb
0.250 0.250 0.748 Tb
0.420 0.085 0.252 Tb
0.580 0.915 0.748 Tb
0.750 0.750 0.252 Tb
0.915 0.580 0.748 Tb
0.167 0.833 0.500 Dy
0.500 0.500 0.500 Dy
0.833 0.167 0.500 Dy
0.333 0.667 0.000 Tm
0.667 0.333 0.000 Tm
```

Computed properties:
space-group type = No. 12
energy = -0.33818 Ry per atom
V = 31.90 Å³ per atom
spin magnetization = 0.000 μB per atom